# 1
# K3W | Alexandria | PBE-GGA | relaxed
# Energy relative to the elements: 1.490 eV/atom
# Distance to the lowest polymorph of the same formula: 13.76 kcal/mol of atoms
# Magnetization: 5.12 μB/f.u.
# Density of states at the Fermi level: 3.95 states/eV/cell
data_K3W
_chemical_formula_sum 'K6 W2'
_space_group_name_H-M_alt 'I 4/m m m'
_space_group_IT_number 139
_space_group_name_Hall '-I 4 2'
_cell_length_a 6.325
_cell_length_b 6.325
_cell_length_c 9.105
_cell_angle_alpha 90.00
_cell_angle_beta 90.00
_cell_angle_gamma 90.00
loop_
_atom_site_label
_atom_site_type_symbol
_atom_site_fract_x
_atom_site_fract_y
_atom_site_fract_z
K1 K 0.000 0.000 0.000
K2 K 0.000 0.500 0.250
W1 W 0.000 0.000 0.500

***

# 2
# KNp2RhS4 | Alexandria | PBE-GGA | relaxed
# Magnetization: 6.74 μB/f.u.
# ΔE_f (raw): -1.2199 eV/atom
# Density of states at the Fermi level: 70.78 states/eV/cell
data_KNp2RhS4
_chemical_formula_sum 'K4 Np8 Rh4 S16'
_space_group_name_H-M_alt 'C m c m'
_space_group_IT_number 63
_space_group_name_Hall '-C 2c 2'
_cell_length_a 3.898
_cell_length_b 13.573
_cell_length_c 13.714
_cell_angle_alpha 90.00
_cell_angle_beta 90.00
_cell_angle_gamma 90.00
loop_
_atom_site_label
_atom_site_type_symbol
_atom_site_fract_x
_atom_site_fract_y
_atom_site_fract_z
K1 K 0.000 0.107 0.250
Np1 Np 0.000 0.367 0.063
Rh1 Rh 0.000 0.167 0.750
S1 S 0.000 0.000 0.000
S2 S 0.000 0.265 0.606
S3 S 0.000 0.429 0.250

***

# 3
# Rb3SbW | Alexandria | PBE-GGA | relaxed
# Distance to the lowest polymorph of the same formula: 0.00 kcal/mol of atoms
# Magnetization: 5.99 μB/f.u.
# ΔE_f (raw): 1.2823 eV/atom
# Density of states at the Fermi level: 18.51 states/eV/cell
data_Rb3SbW
_chemical_formula_sum 'Rb3 Sb1 W1'
_space_group_name_H-M_alt 'P m -3 m'
_space_group_IT_number 221
_space_group_name_Hall '-P 4 2 3'
_cell_length_a 6.970
_cell_length_b 6.970
_cell_length_c 6.970
_cell_angle_alpha 90.00
_cell_angle_beta 90.00
_cell_angle_gamma 90.00
loop_
_atom_site_label
_atom_site_type_symbol
_atom_site_fract_x
_atom_site_fract_y
_atom_site_fract_z
Rb1 Rb 0.000 0.000 0.500
Sb1 Sb 0.000 0.000 0.000
W1 W 0.500 0.500 0.500

***

# 4
# HgTe2 | Alexandria | PBE-GGA | relaxed
# Distance to the lowest polymorph of the same formula: 0.72 kcal/mol of atoms
# Magnetization: 0.00 μB/f.u.
# ΔE_f (raw): 0.0540 eV/atom
# Density of states at the Fermi level: 0.69 states/eV/cell
data_HgTe2
_chemical_formula_sum 'Hg4 Te8'
_space_group_name_H-M_alt 'C m c e'
_space_group_IT_number 64
_space_group_name_Hall '-C 2ac 2'
_cell_length_a 6.627
_cell_length_b 6.274
_cell_length_c 11.005
_cell_angle_alpha 90.00
_cell_angle_beta 90.00
_cell_angle_gamma 90.00
loop_
_atom_site_label
_atom_site_type_symbol
_atom_site_fract_x
_atom_site_fract_y
_atom_site_fract_z
Hg1 Hg 0.000 0.000 0.000
Te1 Te 0.000 0.111 0.390

***

# 5
# Si2TePbI | Alexandria | PBE-GGA | relaxed
# Magnetization: 0.00 μB/f.u.
# ΔE_f (raw): 1.1399 eV/atom
# Density of states at the Fermi level: 5.59 states/eV/cell
data_Si2TePbI
_chemical_formula_sum 'Si2 Te1 Pb1 I1'
_space_group_name_H-M_alt 'P 4/m m m'
_space_group_IT_number 123
_space_group_name_Hall '-P 4 2'
_cell_length_a 5.560
_cell_length_b 5.560
_cell_length_c 5.807
_cell_angle_alpha 90.00
_cell_angle_beta 90.00
_cell_angle_gamma 90.00
loop_
_atom_site_label
_atom_site_type_symbol
_atom_site_fract_x
_atom_site_fract_y
_atom_site_fract_z
Si1 Si 0.000 0.500 0.000
Te1 Te 0.000 0.000 0.500
Pb1 Pb 0.500 0.500 0.000
I1 I 0.500 0.500 0.500

***

# 6
# HoPaCd6 | Alexandria | PBE-GGA | relaxed
# Energy relative to the elements: 0.377 eV/atom
# Magnetization: 1.44 μB/f.u.
# Density of states at the Fermi level: 31.58 states/eV/cell
data_HoPaCd6
_chemical_formula_sum 'Ho3 Pa3 Cd18'
_space_group_name_H-M_alt 'R -3 m'
_space_group_IT_number 166
_space_group_name_Hall '-R 3 2"'
_cell_length_a 5.9456
_cell_length_b 5.9456
_cell_length_c 24.5919
_cell_angle_alpha 90.00
_cell_angle_beta 90.00
_cell_angle_gamma 120.00
loop_
_atom_site_label
_atom_site_type_symbol
_atom_site_fract_x
_atom_site_fract_y
_atom_site_fract_z
Ho1 Ho 0.0000 0.0000 0.0000
Pa1 Pa 0.0000 0.0000 0.5000
Cd1 Cd 0.0048 0.5024 0.4378

***

# 7
# LiPuSn | Alexandria | PBE-GGA | relaxed
# Energy relative to the elements: -0.142 eV/atom
# Magnetization: 6.51 μB/f.u.
# Density of states at the Fermi level: 15.58 states/eV/cell
data_LiPuSn
_chemical_formula_sum 'Li2 Pu2 Sn2'
_space_group_name_H-M_alt 'I 4 m m'
_space_group_IT_number 107
_space_group_name_Hall 'I 4 -2'
_cell_length_a 3.419
_cell_length_b 3.419
_cell_length_c 11.844
_cell_angle_alpha 90.00
_cell_angle_beta 90.00
_cell_angle_gamma 90.00
loop_
_atom_site_label
_atom_site_type_symbol
_atom_site_fract_x
_atom_site_fract_y
_atom_site_fract_z
Li1 Li 0.000 0.000 0.000
Pu1 Pu 0.000 0.000 0.311
Sn1 Sn 0.000 0.000 0.620

***

# 8
# Dy4CoHg | Alexandria | PBE-GGA | relaxed
# Energy relative to the elements: -0.147 eV/atom
# Distance to the lowest polymorph of the same formula: 3.57 kcal/mol of atoms
# Magnetization: 0.00 μB/f.u.
# Density of states at the Fermi level: 12.88 states/eV/cell
data_Dy4CoHg
_chemical_formula_sum 'Dy8 Co2 Hg2'
_space_group_name_H-M_alt 'P 1 21/c 1'
_space_group_IT_number 14
_space_group_name_Hall '-P 2ybc'
_cell_length_a 7.136
_cell_length_b 6.940
_cell_length_c 6.858
_cell_angle_alpha 90.00
_cell_angle_beta 94.31
_cell_angle_gamma 90.00
loop_
_atom_site_label
_atom_site_type_symbol
_atom_site_fract_x
_atom_site_fract_y
_atom_site_fract_z
Dy1 Dy 0.141 0.163 0.189
Dy2 Dy 0.310 0.645 0.117
Co1 Co 0.000 0.000 0.500
Hg1 Hg 0.500 0.000 0.000

***

# 9
# La2YAg | Alexandria | PBE-GGA | relaxed
# Energy relative to the elements: 0.003 eV/atom
# Distance to the lowest polymorph of the same formula: 2.98 kcal/mol of atoms
# Magnetization: 0.00 μB/f.u.
# Density of states at the Fermi level: 9.90 states/eV/cell
data_La2YAg
_chemical_formula_sum 'La4 Y2 Ag2'
_space_group_name_H-M_alt 'I 4/m m m'
_space_group_IT_number 139
_space_group_name_Hall '-I 4 2'
_cell_length_a 4.794
_cell_length_b 4.794
_cell_length_c 10.351
_cell_angle_alpha 90.00
_cell_angle_beta 90.00
_cell_angle_gamma 90.00
loop_
_atom_site_label
_atom_site_type_symbol
_atom_site_fract_x
_atom_site_fract_y
_atom_site_fract_z
La1 La 0.000 0.500 0.250
Y1 Y 0.000 0.000 0.000
Ag1 Ag 0.000 0.000 0.500

***

# 10
# Hf2GeMo | Alexandria | PBE-GGA | relaxed
# Energy relative to the elements: 0.366 eV/atom
# Magnetization: 0.00 μB/f.u.
# Density of states at the Fermi level: 21.95 states/eV/cell
data_Hf2GeMo
_chemical_formula_sum 'Hf8 Ge4 Mo4'
_space_group_name_H-M_alt 'I -4 2 d'
_space_group_IT_number 122
_space_group_name_Hall 'I -4 2bw'
_cell_length_a 7.490
_cell_length_b 7.490
_cell_length_c 5.628
_cell_angle_alpha 90.00
_cell_angle_beta 90.00
_cell_angle_gamma 90.00
loop_
_atom_site_label
_atom_site_type_symbol
_atom_site_fract_x
_atom_site_fract_y
_atom_site_fract_z
Hf1 Hf 0.250 0.250 0.125
Ge1 Ge 0.000 0.000 0.000
Mo1 Mo 0.000 0.000 0.500

***

# 11
# Sr2SmAgSe4 | Alexandria | PBE-GGA | relaxed
# Magnetization: 0.00 μB/f.u.
# ΔE_f (raw): -1.5775 eV/atom
data_Sr2SmAgSe4
_chemical_formula_sum 'Sr2 Sm1 Ag1 Se4'
_space_group_name_H-M_alt 'P 1 2/m 1'
_space_group_IT_number 10
_space_group_name_Hall '-P 2y'
_cell_length_a 7.439
_cell_length_b 4.327
_cell_length_c 7.486
_cell_angle_alpha 90.00
_cell_angle_beta 110.17
_cell_angle_gamma 90.00
loop_
_atom_site_label
_atom_site_type_symbol
_atom_site_fract_x
_atom_site_fract_y
_atom_site_fract_z
Sr1 Sr 0.000 0.000 0.000
Sr2 Sr 0.000 0.500 0.500
Sm1 Sm 0.500 0.000 0.500
Ag1 Ag 0.500 0.500 0.000
Se1 Se 0.263 0.500 0.263
Se2 Se 0.271 0.000 0.753

***

# 12
# TeMoPt2 | Alexandria | PBE-GGA | relaxed
# Magnetization: 0.00 μB/f.u.
# ΔE_f (raw): 0.1236 eV/atom
# Density of states at the Fermi level: 6.10 states/eV/cell
data_TeMoPt2
_chemical_formula_sum 'Te2 Mo2 Pt4'
_space_group_name_H-M_alt 'A m m 2'
_space_group_IT_number 38
_space_group_name_Hall 'A 2 -2'
_cell_length_a 4.510
_cell_length_b 2.876
_cell_length_c 11.353
_cell_angle_alpha 90.00
_cell_angle_beta 90.00
_cell_angle_gamma 90.00
loop_
_atom_site_label
_atom_site_type_symbol
_atom_site_fract_x
_atom_site_fract_y
_atom_site_fract_z
Te1 Te 0.000 0.000 0.000
Mo1 Mo 0.500 0.000 0.842
Pt1 Pt 0.000 0.000 0.272
Pt2 Pt 0.500 0.000 0.134